A plane-wave DFT calculation with PBE-GGA was carried out for a relaxed structure of HoSi3Ru.

a b c (Å): 5.6021 5.4875 5.7974
angles (deg): 90.00 108.01 90.00
Positions (direct):
Ho1 0.2194 0.2500 0.2166
Ho2 0.7806 0.7500 0.7834
Si1 0.2723 0.5021 0.7580
Si2 0.2723 0.9979 0.7580
Si3 0.3440 0.7500 0.1412
Si4 0.6560 0.2500 0.8588
Si5 0.7277 0.0021 0.2420
Si6 0.7277 0.4979 0.2420
Ru1 0.0931 0.7500 0.4064
Ru2 0.9069 0.2500 0.5936

Values from the calculation:
N(E_F)	3.9	states/eV per cell
spin magnetization	0.00	μB/cell
crystal system	monoclinic
formation energy without anion corrections	-0.577	eV per atom


A plane-wave DFT calculation with PBE-GGA was carried out for a relaxed structure of TlGeTe2.

a b c (Å): 3.2537 3.2537 37.3858
angles (deg): 90.00 90.00 120.00
Positions (direct):
Tl1 0.0000 0.0000 0.0000
Tl2 0.3333 0.6667 0.6667
Tl3 0.6667 0.3333 0.3333
Ge1 0.0000 0.0000 0.5000
Ge2 0.3333 0.6667 0.1667
Ge3 0.6667 0.3333 0.8333
Te1 0.0000 0.0000 0.4190
Te2 0.0000 0.0000 0.5810
Te3 0.3333 0.6667 0.0856
Te4 0.3333 0.6667 0.2477
Te5 0.6667 0.3333 0.7523
Te6 0.6667 0.3333 0.9144

Values from the calculation:
N(E_F)	11.2	states/eV per cell
ΔE to the lowest computed polymorph	342	meV/atom
spin magnetization	0.00	μB/cell
crystal system	trigonal
formation energy without anion corrections	0.201	eV per atom


A plane-wave DFT calculation with PBE-GGA was carried out for a relaxed structure of YZr2Ni.

a b c (Å): 4.1012 4.1012 10.2579
angles (deg): 90.00 90.00 90.00
Positions (direct):
Y1 0.0000 0.0000 0.0000
Y2 0.5000 0.5000 0.5000
Zr1 0.0000 0.5000 0.2500
Zr2 0.0000 0.5000 0.7500
Zr3 0.5000 0.0000 0.2500
Zr4 0.5000 0.0000 0.7500
Ni1 0.0000 0.0000 0.5000
Ni2 0.5000 0.5000 0.0000

Values from the calculation:
N(E_F)	10.1	states/eV per cell
ΔE to the lowest computed polymorph	253	meV/atom
spin magnetization	0.00	μB/cell
crystal system	tetragonal
formation enthalpy at 0 K	0.09	eV per atom


A plane-wave DFT calculation with PBE-GGA was carried out for a relaxed structure of Pm3Dy4Tm3.

a b c (Å): 3.6855 9.3620 9.3620
angles (deg): 89.67 90.00 90.00
Positions (direct):
Pm1 0.0000 0.0000 0.0000
Pm2 0.0000 0.4987 0.8445
Pm3 0.0000 0.8445 0.4987
Dy1 0.5000 0.0489 0.3007
Dy2 0.5000 0.3007 0.0489
Dy3 0.5000 0.5442 0.5442
Dy4 0.5000 0.7992 0.7992
Tm1 0.0000 0.3453 0.3453
Tm2 0.5000 0.1744 0.6665
Tm3 0.5000 0.6665 0.1744

Values from the calculation:
N(E_F)	7.7	states/eV per cell
spin magnetization	0.00	μB/cell
crystal system	orthorhombic
formation enthalpy at 0 K	0.10	eV per atom


A plane-wave DFT calculation with PBE-GGA was carried out for a relaxed structure of Dy7Ni2Au2.

a b c (Å): 6.6444 6.6444 6.8983
angles (deg): 90.00 90.00 109.28
Positions (direct):
Dy1 0.0000 0.0000 0.0000
Dy2 0.0000 0.5000 0.2526
Dy3 0.0000 0.5000 0.7474
Dy4 0.5000 0.0000 0.2526
Dy5 0.5000 0.0000 0.7474
Dy6 0.5000 0.5000 0.2467
Dy7 0.5000 0.5000 0.7533
Ni1 0.2934 0.7066 0.0000
Ni2 0.7066 0.2934 0.0000
Au1 0.1880 0.1880 0.5000
Au2 0.8120 0.8120 0.5000

Values from the calculation:
N(E_F)	11.0	states/eV per cell
spin magnetization	0.00	μB/cell
crystal system	orthorhombic
formation enthalpy at 0 K	-0.33	eV per atom


A plane-wave DFT calculation with PBE-GGA was carried out for a relaxed structure of La2Pm2Sm4Er.

a b c (Å): 9.7142 9.7142 9.7723
angles (deg): 115.12 115.12 21.85
Positions (direct):
La1 0.1647 0.1647 0.4992
La2 0.8353 0.8353 0.5008
Pm1 0.3530 0.3530 0.8352
Pm2 0.6470 0.6470 0.1648
Sm1 0.0191 0.0191 0.8314
Sm2 0.3148 0.3148 0.1652
Sm3 0.6852 0.6852 0.8348
Sm4 0.9809 0.9809 0.1686
Er1 0.5000 0.5000 0.5000

Values from the calculation:
N(E_F)	12.5	states/eV per cell
spin magnetization	0.01	μB/cell
crystal system	monoclinic
formation enthalpy at 0 K	0.01	eV per atom


A plane-wave DFT calculation with PBE-GGA was carried out for a relaxed structure of LaNiB2C.

a b c (Å): 5.5463 5.5463 6.6226
angles (deg): 90.00 90.00 140.82
Positions (direct):
La1 0.1109 0.8891 0.7500
La2 0.8891 0.1109 0.2500
Ni1 0.1723 0.8277 0.2500
Ni2 0.8277 0.1723 0.7500
B1 0.3822 0.6178 0.6184
B2 0.3822 0.6178 0.8816
B3 0.6178 0.3822 0.1184
B4 0.6178 0.3822 0.3816
C1 0.5000 0.5000 0.0000
C2 0.5000 0.5000 0.5000

Values from the calculation:
N(E_F)	2.9	states/eV per cell
spin magnetization	0.00	μB/cell
crystal system	orthorhombic
formation enthalpy at 0 K	-0.26	eV per atom


A plane-wave DFT calculation with PBE-GGA was carried out for a relaxed structure of AlTcRu2.

a b c (Å): 2.9442 4.4203 8.5802
angles (deg): 90.00 90.00 90.00
Positions (direct):
Al1 0.0000 0.0000 0.0000
Al2 0.5000 0.5000 0.5000
Tc1 0.0000 0.0000 0.5000
Tc2 0.5000 0.5000 0.0000
Ru1 0.0000 0.5000 0.2631
Ru2 0.0000 0.5000 0.7369
Ru3 0.5000 0.0000 0.2369
Ru4 0.5000 0.0000 0.7631

Values from the calculation:
N(E_F)	7.2	states/eV per cell
ΔE to the lowest computed polymorph	135	meV/atom
spin magnetization	0.00	μB/cell
crystal system	orthorhombic
formation enthalpy at 0 K	-0.17	eV per atom


A plane-wave DFT calculation with PBE-GGA was carried out for a relaxed structure of Nb4SnP.

a b c (Å): 6.9735 6.9735 5.8876
angles (deg): 109.25 109.25 107.46
Positions (direct):
Nb1 0.0012 0.3987 0.7426
Nb2 0.1103 0.2161 0.2559
Nb3 0.2161 0.1103 0.7559
Nb4 0.3987 0.0012 0.2426
Nb5 0.6013 0.9988 0.7574
Nb6 0.7839 0.8897 0.2441
Nb7 0.8897 0.7839 0.7441
Nb8 0.9988 0.6013 0.2574
Sn1 0.4279 0.5721 0.2500
Sn2 0.5721 0.4279 0.7500
P1 0.2524 0.7476 0.7500
P2 0.7476 0.2524 0.2500

Values from the calculation:
N(E_F)	6.5	states/eV per cell
spin magnetization	0.00	μB/cell
crystal system	monoclinic
formation enthalpy at 0 K	-0.18	eV per atom


A plane-wave DFT calculation with PBE-GGA was carried out for a relaxed structure of ScMnRe2.

a b c (Å): 4.3960 4.3960 3.1051
angles (deg): 90.00 90.00 90.00
Positions (direct):
Sc1 0.0000 0.0000 0.0000
Mn1 0.5000 0.5000 0.0000
Re1 0.0000 0.5000 0.5000
Re2 0.5000 0.0000 0.5000

Values from the calculation:
N(E_F)	4.3	states/eV per cell
ΔE to the lowest computed polymorph	245	meV/atom
spin magnetization	1.33	μB/cell
crystal system	tetragonal
formation enthalpy at 0 K	0.19	eV per atom


A plane-wave DFT calculation with PBE-GGA was carried out for a relaxed structure of Ba2HgP.

a b c (Å): 4.7281 4.7281 24.8193
angles (deg): 90.00 90.00 120.00
Positions (direct):
Ba1 0.0000 0.0000 0.0000
Ba2 0.0000 0.0000 0.1979
Ba3 0.3333 0.6667 0.6667
Ba4 0.3333 0.6667 0.8646
Ba5 0.6667 0.3333 0.3333
Ba6 0.6667 0.3333 0.5312
Hg1 0.0000 0.0000 0.7641
Hg2 0.3333 0.6667 0.4308
Hg3 0.6667 0.3333 0.0974
P1 0.0000 0.0000 0.6008
P2 0.3333 0.6667 0.2674
P3 0.6667 0.3333 0.9341

Values from the calculation:
N(E_F)	6.9	states/eV per cell
ΔE to the lowest computed polymorph	0	meV/atom
spin magnetization	0.00	μB/cell
crystal system	trigonal
formation enthalpy at 0 K	-0.76	eV per atom


A plane-wave DFT calculation with PBE-GGA was carried out for a relaxed structure of ErNi2P.

a b c (Å): 3.7042 3.7042 8.7640
angles (deg): 90.00 90.00 90.00
Positions (direct):
Er1 0.2500 0.2500 0.2245
Er2 0.7500 0.7500 0.7755
Ni1 0.2500 0.2500 0.9139
Ni2 0.2500 0.7500 0.5000
Ni3 0.7500 0.2500 0.5000
Ni4 0.7500 0.7500 0.0861
P1 0.2500 0.2500 0.6533
P2 0.7500 0.7500 0.3467

Values from the calculation:
N(E_F)	6.4	states/eV per cell
spin magnetization	0.00	μB/cell
crystal system	tetragonal
formation enthalpy at 0 K	-0.79	eV per atom


A plane-wave DFT calculation with PBE-GGA was carried out for a relaxed structure of CaLa2Re.

a b c (Å): 7.5402 7.5402 7.5402
angles (deg): 90.00 90.00 90.00
Positions (direct):
Ca1 0.0000 0.0000 0.0000
Ca2 0.0000 0.5000 0.5000
Ca3 0.5000 0.0000 0.5000
Ca4 0.5000 0.5000 0.0000
La1 0.2500 0.2500 0.2500
La2 0.2500 0.2500 0.7500
La3 0.2500 0.7500 0.2500
La4 0.2500 0.7500 0.7500
La5 0.7500 0.2500 0.2500
La6 0.7500 0.2500 0.7500
La7 0.7500 0.7500 0.2500
La8 0.7500 0.7500 0.7500
Re1 0.0000 0.0000 0.5000
Re2 0.0000 0.5000 0.0000
Re3 0.5000 0.0000 0.0000
Re4 0.5000 0.5000 0.5000

Values from the calculation:
N(E_F)	19.1	states/eV per cell
ΔE to the lowest computed polymorph	205	meV/atom
spin magnetization	0.00	μB/cell
crystal system	cubic
formation enthalpy at 0 K	0.40	eV per atom


A plane-wave DFT calculation with PBE-GGA was carried out for a relaxed structure of TlOsRh2.

a b c (Å): 9.0879 2.8842 5.0047
angles (deg): 90.00 99.20 90.00
Positions (direct):
Tl1 0.0000 0.0000 0.0000
Tl2 0.5000 0.5000 0.0000
Os1 0.0000 0.5000 0.5000
Os2 0.5000 0.0000 0.5000
Rh1 0.2434 0.0000 0.7248
Rh2 0.2566 0.5000 0.2752
Rh3 0.7434 0.5000 0.7248
Rh4 0.7566 0.0000 0.2752

Values from the calculation:
N(E_F)	9.9	states/eV per cell
ΔE to the lowest computed polymorph	215	meV/atom
spin magnetization	0.00	μB/cell
crystal system	monoclinic
formation enthalpy at 0 K	0.44	eV per atom


A plane-wave DFT calculation with PBE-GGA was carried out for a relaxed structure of Y5Bi2C.

a b c (Å): 8.3957 8.3957 13.0209
angles (deg): 90.00 90.00 144.12
Positions (direct):
Y1 0.0798 0.9202 0.6249
Y2 0.0798 0.9202 0.8751
Y3 0.2829 0.7171 0.5852
Y4 0.2829 0.7171 0.9148
Y5 0.2933 0.7067 0.2500
Y6 0.7067 0.2933 0.7500
Y7 0.7171 0.2829 0.0852
Y8 0.7171 0.2829 0.4148
Y9 0.9202 0.0798 0.1249
Y10 0.9202 0.0798 0.3751
Bi1 0.1202 0.8798 0.1091
Bi2 0.1202 0.8798 0.3909
Bi3 0.8798 0.1202 0.6091
Bi4 0.8798 0.1202 0.8909
C1 0.1882 0.8118 0.7500
C2 0.8118 0.1882 0.2500

Values from the calculation:
N(E_F)	15.6	states/eV per cell
spin magnetization	2.12	μB/cell
crystal system	orthorhombic
formation enthalpy at 0 K	-0.19	eV per atom


A plane-wave DFT calculation with PBE-GGA was carried out for a relaxed structure of La2PmDy3S6.

a b c (Å): 8.9958 8.9958 8.1143
angles (deg): 104.11 104.11 25.48
Positions (direct):
La1 0.1659 0.1659 0.3323
La2 0.8341 0.8341 0.6677
Pm1 0.5000 0.5000 0.0000
Dy1 0.1670 0.1670 0.8336
Dy2 0.5000 0.5000 0.5000
Dy3 0.8330 0.8330 0.1664
S1 0.0049 0.0049 0.7438
S2 0.3310 0.3310 0.9296
S3 0.3378 0.3378 0.4053
S4 0.6622 0.6622 0.5947
S5 0.6690 0.6690 0.0704
S6 0.9951 0.9951 0.2562

Values from the calculation:
N(E_F)	5.7	states/eV per cell
spin magnetization	0.00	μB/cell
crystal system	monoclinic
formation energy without anion corrections	-2.062	eV per atom


A plane-wave DFT calculation with PBE-GGA was carried out for a relaxed structure of NiOsRh2.

a b c (Å): 2.7013 2.7013 7.3827
angles (deg): 90.00 90.00 90.00
Positions (direct):
Ni1 0.0000 0.0000 0.0000
Os1 0.5000 0.5000 0.2340
Rh1 0.0000 0.0000 0.4893
Rh2 0.5000 0.5000 0.7588

Values from the calculation:
N(E_F)	4.0	states/eV per cell
ΔE to the lowest computed polymorph	42	meV/atom
spin magnetization	0.00	μB/cell
crystal system	tetragonal
formation enthalpy at 0 K	0.08	eV per atom


A plane-wave DFT calculation with PBE-GGA was carried out for a relaxed structure of Ho5Er2Tm2.

a b c (Å): 7.8381 7.8381 7.8377
angles (deg): 107.44 107.44 36.78
Positions (direct):
Ho1 0.0000 0.0000 0.0000
Ho2 0.2221 0.2221 0.3338
Ho3 0.3333 0.3333 0.9997
Ho4 0.6667 0.6667 0.0003
Ho5 0.7779 0.7779 0.6662
Er1 0.1107 0.1107 0.6662
Er2 0.8893 0.8893 0.3338
Tm1 0.4446 0.4446 0.6661
Tm2 0.5554 0.5554 0.3339

Values from the calculation:
N(E_F)	11.6	states/eV per cell
ΔE to the lowest computed polymorph	0	meV/atom
spin magnetization	0.00	μB/cell
crystal system	monoclinic
formation enthalpy at 0 K	0.02	eV per atom


A plane-wave DFT calculation with PBE-GGA was carried out for a relaxed structure of LiScAsIr.

a b c (Å): 6.2429 6.2429 6.2429
angles (deg): 90.00 90.00 90.00
Positions (direct):
Li1 0.0000 0.0000 0.0000
Li2 0.0000 0.5000 0.5000
Li3 0.5000 0.0000 0.5000
Li4 0.5000 0.5000 0.0000
Sc1 0.2500 0.2500 0.7500
Sc2 0.2500 0.7500 0.2500
Sc3 0.7500 0.2500 0.2500
Sc4 0.7500 0.7500 0.7500
As1 0.2500 0.2500 0.2500
As2 0.2500 0.7500 0.7500
As3 0.7500 0.2500 0.7500
As4 0.7500 0.7500 0.2500
Ir1 0.0000 0.0000 0.5000
Ir2 0.0000 0.5000 0.0000
Ir3 0.5000 0.0000 0.0000
Ir4 0.5000 0.5000 0.5000

Values from the calculation:
N(E_F)	1.8	states/eV per cell
spin magnetization	0.00	μB/cell
crystal system	cubic
formation enthalpy at 0 K	-0.74	eV per atom


A plane-wave DFT calculation with PBE-GGA was carried out for a relaxed structure of KTl3.

a b c (Å): 6.9009 10.7960 3.5516
angles (deg): 90.00 90.00 90.00
Positions (direct):
K1 0.0000 0.0000 0.0000
K2 0.5000 0.5000 0.0000
Tl1 0.0000 0.5000 0.0000
Tl2 0.2500 0.2500 0.5000
Tl3 0.2500 0.7500 0.5000
Tl4 0.5000 0.0000 0.0000
Tl5 0.7500 0.2500 0.5000
Tl6 0.7500 0.7500 0.5000

Values from the calculation:
N(E_F)	6.0	states/eV per cell
spin magnetization	0.00	μB/cell
crystal system	orthorhombic
formation enthalpy at 0 K	-0.01	eV per atom